BaGaRh | Alexandria | PBE | optimized geometry; DOS at the Fermi energy = 1.51 states/eV/f.u.; calculated total energy = -4.5940 eV/atom
1.0
4.333 0.000 0.000
-2.166 3.752 0.000
0.000 0.000 4.905
Ba Ga Rh
1 1 1
direct
0.000 0.000 0.000
0.667 0.333 0.500
0.333 0.667 0.500

***

BaGa2Rh | Alexandria | PBE | optimized geometry; DOS at the Fermi energy = 2.69 states/eV/f.u.; calculated total energy = -4.3810 eV/atom
1.0
4.285 0.000 0.000
0.000 6.977 0.000
0.000 0.000 6.454
Ba Ga Rh
2 4 2
direct
0.250 0.250 0.102
0.750 0.750 0.898
0.250 0.045 0.617
0.250 0.455 0.617
0.750 0.545 0.383
0.750 0.955 0.383
0.250 0.750 0.373
0.750 0.250 0.627

***

BaGa3Rh3 | Alexandria | PBE | optimized geometry; DOS at the Fermi energy = 3.13 states/eV/f.u.; polymorph energy (0 for the lowest one) = 3.6 kJ per mole of atoms; calculated total energy = -5.0614 eV/atom
1.0
3.354 1.937 7.578
-3.354 1.937 7.578
0.000 -3.873 7.578
Ba Ga Rh
2 6 6
direct
0.164 0.164 0.164
0.836 0.836 0.836
0.060 0.592 0.233
0.233 0.060 0.592
0.408 0.767 0.940
0.592 0.233 0.060
0.767 0.940 0.408
0.940 0.408 0.767
0.178 0.651 0.388
0.349 0.612 0.822
0.388 0.178 0.651
0.612 0.822 0.349
0.651 0.388 0.178
0.822 0.349 0.612

***

BaGa2Rh | Alexandria | PBE | optimized geometry; DOS at the Fermi energy = 4.62 states/eV/f.u.; calculated total energy = -4.2563 eV/atom
1.0
5.510 0.000 0.000
0.000 5.510 0.000
0.000 0.000 15.516
Ba Ga Rh
4 8 4
direct
0.000 0.250 0.375
0.000 0.750 0.625
0.500 0.250 0.125
0.500 0.750 0.875
0.000 0.000 0.000
0.000 0.500 0.000
0.250 0.250 0.750
0.250 0.750 0.250
0.500 0.000 0.500
0.500 0.500 0.500
0.750 0.250 0.750
0.750 0.750 0.250
0.000 0.250 0.875
0.000 0.750 0.125
0.500 0.250 0.625
0.500 0.750 0.375

***

BaGa3Rh | Alexandria | PBE | optimized geometry; DOS at the Fermi energy = 2.85 states/eV/f.u.; calculated total energy = -4.1546 eV/atom
1.0
3.309 -5.736 0.000
3.309 5.736 0.000
0.000 0.000 5.790
Ba Ga Rh
2 6 2
direct
0.167 0.833 0.750
0.833 0.167 0.250
0.134 0.316 0.750
0.316 0.134 0.250
0.317 0.683 0.250
0.683 0.317 0.750
0.684 0.866 0.750
0.866 0.684 0.250
0.500 0.500 0.000
0.500 0.500 0.500

***

BaGaRh | Alexandria | PBE | optimized geometry; DOS at the Fermi energy = 1.16 states/eV/f.u.; calculated total energy = -4.6767 eV/atom
1.0
4.501 0.000 0.000
0.000 4.501 0.000
0.000 0.000 8.141
Ba Ga Rh
2 2 2
direct
0.250 0.250 0.197
0.750 0.750 0.803
0.250 0.250 0.645
0.750 0.750 0.355
0.250 0.750 0.500
0.750 0.250 0.500

***

BaGaRh3 | Alexandria | PBE | optimized geometry; DOS at the Fermi energy = 5.31 states/eV/f.u.; polymorph energy (0 for the lowest one) = 0.0 kJ per mole of atoms; calculated total energy = -5.3242 eV/atom
1.0
4.746 0.000 0.000
0.000 4.746 0.000
0.000 0.000 4.746
Ba Ga Rh
1 1 3
direct
0.000 0.000 0.000
0.500 0.500 0.500
0.000 0.500 0.500
0.500 0.000 0.500
0.500 0.500 0.000

***

BaGa4Rh | Alexandria | PBE | optimized geometry; DOS at the Fermi energy = 5.19 states/eV/f.u.; calculated total energy = -3.8342 eV/atom
1.0
4.826 0.000 0.000
0.000 4.826 0.000
-0.019 0.000 7.128
Ba Ga Rh
1 4 1
direct
0.000 0.000 0.000
0.000 0.500 0.500
0.500 0.000 0.500
0.500 0.500 0.163
0.500 0.500 0.837
0.500 0.500 0.500

***

BaGa2Rh | Alexandria | PBE | optimized geometry; DOS at the Fermi energy = 1.74 states/eV/f.u.; calculated total energy = -4.3458 eV/atom
1.0
6.648 0.000 0.000
0.000 11.597 0.000
-3.124 0.000 5.029
Ba Ga Rh
4 8 4
direct
0.000 0.116 0.250
0.000 0.884 0.750
0.500 0.384 0.750
0.500 0.616 0.250
0.150 0.347 0.025
0.150 0.653 0.525
0.350 0.153 0.975
0.350 0.847 0.475
0.650 0.153 0.525
0.650 0.847 0.025
0.850 0.347 0.475
0.850 0.653 0.975
0.000 0.471 0.250
0.000 0.529 0.750
0.500 0.029 0.750
0.500 0.971 0.250

***

BaGaRuRh2 | Alexandria | PBE | optimized geometry; DOS at the Fermi energy = 7.19 states/eV/f.u.; polymorph energy (0 for the lowest one) = 0.0 kJ per mole of atoms; calculated total energy = -3.8029 eV/atom
1.0
5.097 0.000 0.000
0.000 5.097 0.000
0.000 0.000 5.161
Ba Ga Ru Rh
1 1 1 2
direct
0.000 0.000 0.000
0.500 0.500 0.500
0.000 0.000 0.500
0.000 0.500 0.000
0.500 0.000 0.000

***

BaGaRuRh2 | Alexandria | PBE | optimized geometry; DOS at the Fermi energy = 7.23 states/eV/f.u.; polymorph energy (0 for the lowest one) = 14.3 kJ per mole of atoms; calculated total energy = -3.6550 eV/atom
1.0
5.009 0.000 0.000
0.000 5.009 0.000
0.000 0.000 5.573
Ba Ga Ru Rh
1 1 1 2
direct
0.000 0.000 0.000
0.000 0.000 0.500
0.500 0.500 0.500
0.000 0.500 0.000
0.500 0.000 0.000

***

Ba2GaRhSe | Alexandria | PBE | optimized geometry; DOS at the Fermi energy = 0.94 states/eV/f.u.; formation energy (no corrections) = -0.818 eV per atom; calculated total energy = -4.3599 eV/atom
1.0
5.913 0.000 0.000
0.000 5.913 0.000
0.000 0.000 4.763
Ba Ga Rh Se
2 1 1 1
direct
0.000 0.500 0.000
0.500 0.000 0.000
0.000 0.000 0.500
0.000 0.000 0.000
0.500 0.500 0.500

***

BaGa2SnRh | Alexandria | PBE | optimized geometry; DOS at the Fermi energy = 4.76 states/eV/f.u.; calculated total energy = -4.2683 eV/atom
1.0
4.920 0.000 0.000
0.000 4.920 0.000
0.000 0.000 5.263
Ba Ga Sn Rh
1 2 1 1
direct
0.000 0.000 0.000
0.000 0.500 0.500
0.500 0.000 0.500
0.500 0.500 0.000
0.500 0.500 0.500

***

BaSr2GaRh | Alexandria | PBE | optimized geometry; DOS at the Fermi energy = 4.17 states/eV/f.u.; calculated total energy = -3.3448 eV/atom
1.0
5.852 0.000 0.000
0.000 5.852 0.000
0.000 0.000 5.054
Ba Sr Ga Rh
1 2 1 1
direct
0.000 0.000 0.000
0.000 0.500 0.500
0.500 0.000 0.500
0.500 0.500 0.000
0.500 0.500 0.500

***

BaSrGaRh | Alexandria | PBE | optimized geometry; DOS at the Fermi energy = 2.98 states/eV/f.u.; calculated total energy = -3.9617 eV/atom
1.0
7.610 0.000 0.000
0.000 4.402 0.000
-2.552 0.000 8.349
Ba Sr Ga Rh
2 2 2 2
direct
0.000 0.000 0.000
0.500 0.500 0.000
0.173 0.000 0.514
0.673 0.500 0.514
0.424 0.000 0.269
0.924 0.500 0.269
0.257 0.500 0.268
0.757 0.000 0.268

***

Ba2Ga6TcRh | Alexandria | PBE | optimized geometry; DOS at the Fermi energy = 4.19 states/eV/f.u.; calculated total energy = -4.4546 eV/atom
1.0
-3.458 3.461 4.890
3.458 -3.461 4.890
3.458 3.461 -4.890
Ba Ga Tc Rh
2 6 1 1
direct
0.239 0.239 0.000
0.761 0.761 0.000
0.250 0.750 0.500
0.260 0.262 0.522
0.260 0.738 0.999
0.740 0.262 0.001
0.740 0.738 0.478
0.750 0.250 0.500
0.500 0.000 0.500
0.000 0.500 0.500

***

Ba2GaTeRh | Alexandria | PBE | optimized geometry; DOS at the Fermi energy = 0.88 states/eV/f.u.; formation energy (no corrections) = -0.829 eV per atom; calculated total energy = -4.3017 eV/atom
1.0
5.991 0.000 0.000
0.000 5.991 0.000
0.000 0.000 4.821
Ba Ga Te Rh
2 1 1 1
direct
0.000 0.500 0.000
0.500 0.000 0.000
0.000 0.000 0.500
0.500 0.500 0.500
0.000 0.000 0.000

***

BaTiGaRh2 | Alexandria | PBE | optimized geometry; DOS at the Fermi energy = 3.97 states/eV/f.u.; calculated total energy = -5.5116 eV/atom
1.0
4.724 0.000 0.000
0.000 4.724 0.000
0.000 0.000 5.196
Ba Ti Ga Rh
1 1 1 2
direct
0.000 0.000 0.000
0.500 0.500 0.500
0.500 0.500 0.000
0.000 0.500 0.500
0.500 0.000 0.500

***

BaTlGa2Rh | Alexandria | PBE | optimized geometry; DOS at the Fermi energy = 1.60 states/eV/f.u.; calculated total energy = -3.9145 eV/atom
1.0
4.918 0.000 0.000
0.000 4.918 0.000
0.000 0.000 5.302
Ba Tl Ga Rh
1 1 2 1
direct
0.000 0.000 0.000
0.500 0.500 0.000
0.000 0.500 0.500
0.500 0.000 0.500
0.500 0.500 0.500

***

BaTl2GaRh | Alexandria | PBE | optimized geometry; DOS at the Fermi energy = 2.09 states/eV/f.u.; calculated total energy = -3.6846 eV/atom
1.0
5.339 0.000 0.000
0.000 5.339 0.000
0.000 0.000 4.910
Ba Tl Ga Rh
1 2 1 1
direct
0.000 0.000 0.000
0.000 0.500 0.500
0.500 0.000 0.500
0.500 0.500 0.000
0.500 0.500 0.500

***

BaZnGaRh | Alexandria | PBE | optimized geometry; DOS at the Fermi energy = 2.69 states/eV/f.u.; calculated total energy = -3.8358 eV/atom
1.0
4.436 0.000 0.000
-2.218 3.842 0.000
0.000 0.000 17.241
Ba Zn Ga Rh
3 3 3 3
direct
0.000 0.000 0.000
0.333 0.667 0.667
0.667 0.333 0.333
0.000 0.000 0.813
0.333 0.667 0.480
0.667 0.333 0.146
0.000 0.000 0.524
0.333 0.667 0.190
0.667 0.333 0.857
0.000 0.000 0.189
0.333 0.667 0.855
0.667 0.333 0.522

***

Ba2Zn6GaRh | Alexandria | PBE | optimized geometry; DOS at the Fermi energy = 7.44 states/eV/f.u.; calculated total energy = -2.3873 eV/atom
1.0
-3.501 3.501 4.947
3.501 -3.501 4.947
3.501 3.501 -4.947
Ba Zn Ga Rh
2 6 1 1
direct
0.250 0.750 0.500
0.750 0.250 0.500
0.245 0.245 0.000
0.245 0.245 0.490
0.245 0.755 0.000
0.755 0.245 0.000
0.755 0.755 0.000
0.755 0.755 0.510
0.500 0.500 0.000
0.000 0.000 0.000

***

BaZrGaRh2 | Alexandria | PBE | optimized geometry; DOS at the Fermi energy = 4.94 states/eV/f.u.; calculated total energy = -4.9615 eV/atom
1.0
4.863 0.000 0.000
0.000 4.863 0.000
0.000 0.000 6.131
Ba Zr Ga Rh
1 1 1 2
direct
0.000 0.000 0.000
0.000 0.000 0.500
0.500 0.500 0.000
0.000 0.500 0.500
0.500 0.000 0.500

***

BaGa3Ru | Alexandria | PBE | optimized geometry; DOS at the Fermi energy = 1.62 states/eV/f.u.; polymorph energy (0 for the lowest one) = 8.2 kJ per mole of atoms; calculated total energy = -4.4483 eV/atom
1.0
4.964 0.000 0.000
0.004 6.807 0.000
2.479 1.976 7.478
Ba Ga Ru
2 6 2
direct
0.000 0.000 0.000
0.255 0.631 0.492
0.111 0.532 0.943
0.228 0.274 0.236
0.309 0.099 0.549
0.657 0.816 0.746
0.669 0.316 0.746
0.718 0.358 0.255
0.597 0.496 0.970
0.823 0.136 0.521

***

BaGa3Ru | Alexandria | PBE | optimized geometry; DOS at the Fermi energy = 7.27 states/eV/f.u.; polymorph energy (0 for the lowest one) = 221.6 kJ per mole of atoms; calculated total energy = -2.2369 eV/atom
1.0
5.803 0.000 0.000
0.000 5.803 0.000
0.000 0.000 5.803
Ba Ga Ru
1 3 1
direct
0.000 0.000 0.000
0.000 0.000 0.500
0.000 0.500 0.000
0.500 0.000 0.000
0.500 0.500 0.500

***

BaGa3Ru | Alexandria | PBE | optimized geometry; DOS at the Fermi energy = 2.22 states/eV/f.u.; polymorph energy (0 for the lowest one) = 66.6 kJ per mole of atoms; calculated total energy = -3.8436 eV/atom
1.0
4.402 2.542 3.864
-4.402 2.542 3.864
0.000 -5.084 3.864
Ba Ga Ru
2 6 2
direct
0.000 0.000 0.000
0.500 0.500 0.500
0.025 0.750 0.475
0.250 0.525 0.975
0.475 0.025 0.750
0.525 0.975 0.250
0.750 0.475 0.025
0.975 0.250 0.525
0.250 0.250 0.250
0.750 0.750 0.750